(1)
## GaNiIO6 (PBE+U)

Data for a relaxed structure of GaNiIO6.

The structure in extended XYZ format:
```
18
Lattice="5.069 0.000 0.000 -2.535 4.390 0.000 0.000 0.000 9.006" Properties=species:S:1:pos:R:3 pbc="T T T"
O 0.846 1.583 7.814
O 1.689 2.807 1.192
O -0.741 4.332 5.696
O 0.741 4.332 7.814
O -1.587 2.866 7.814
O 1.794 0.059 1.192
O -0.846 1.583 5.696
O 3.381 2.807 3.311
O 1.587 2.866 5.696
O 4.122 1.524 1.192
O 3.276 0.059 3.311
O 0.948 1.524 3.311
Ga 2.535 1.463 6.755
Ga 0.000 2.927 2.252
I 2.535 1.463 2.252
I 0.000 2.927 6.755
Ni 0.000 0.000 4.503
Ni 0.000 0.000 0.000
```

Crystal system ... trigonal
Calculated volume ... 200.4 Å³ per cell
DFT total energy ... -44.60 eV/f.u.

(2)
## Ga2NiIO8 (PBE+U)

Data for a relaxed structure of Ga2NiIO8.

The structure in extended XYZ format:
```
12
Lattice="4.609 -0.124 -0.002 -0.107 4.607 -0.005 0.003 0.007 6.077" Properties=species:S:1:pos:R:3 pbc="T T T"
O 1.380 1.373 3.036
O 3.126 3.117 3.033
O 1.369 1.360 -0.002
O 3.721 0.777 4.652
O 3.720 0.774 1.419
O 3.133 3.123 -0.005
O 0.784 3.712 1.417
O 0.786 3.716 4.651
Ni 0.002 0.003 3.038
I 0.000 0.000 0.000
Ga 2.254 2.247 4.509
Ga 2.252 2.243 1.561
```

Crystal system ... orthorhombic
Calculated volume ... 129.0 Å³ per cell
DFT total energy ... -61.19 eV/f.u.

(3)
## GaNi2IO6 (PBE+U)

Data for a relaxed structure of GaNi2IO6.

The structure in extended XYZ format:
```
10
Lattice="-0.776 4.624 -0.850 -4.324 -0.115 3.324 3.205 1.313 4.215" Properties=species:S:1:pos:R:3 pbc="T T T"
Ni 0.894 4.877 1.331
Ni -2.871 4.163 0.886
I -1.041 3.466 3.242
O 0.823 4.430 3.366
O -0.156 0.927 -0.170
O -3.104 3.685 2.901
O -1.432 4.370 5.099
O -0.744 1.697 3.567
O -0.848 3.745 1.167
Ga -0.444 2.643 -0.486
```

Crystal system ... tetragonal
Calculated volume ... 141.8 Å³ per cell
DFT total energy ... -44.57 eV/f.u.